No. 1
Here is an optimized crystal structure of DyHf2Re from Alexandria via LeMat-Bulk. Energies are from PBE.

Unit cell a=3.3136 b=3.3136 c=8.1389 alpha=90.00 beta=90.00 gamma=90.00
Closest atoms and distances in Å follow each position.
Sites, in units of the cell vectors:
Hf (0.0000, 0.0000, 0.8107)  4 Re 2.80, 1 Hf 3.08
Hf (0.0000, 0.0000, 0.1893)  4 Re 2.80, 1 Hf 3.08
Re (0.5000, 0.5000, 0.0000)  8 Hf 2.80
Dy (0.5000, 0.5000, 0.5000)  4 Dy 3.31, 8 Hf 3.45

**Space group**: P4/mmm, No. 123
**Calculated formation energy**: -82.5 meV per atom



No. 2
Here is an optimized crystal structure of Ac4SmTm2 from Alexandria via LeMat-Bulk. Energies are from PBE.

Unit cell a=7.1735 b=7.1736 c=13.1673 alpha=97.09 beta=97.10 gamma=123.58
Closest atoms and distances in Å follow each position.
Sites, in units of the cell vectors:
Ac (0.6986, 0.0110, 0.3663)  5 Ac 3.58-3.86, 3 Tm 3.64-3.99, 2 Sm 3.67-3.92
Ac (0.8710, 0.2256, 0.6458)  6 Ac 3.58-3.99, 3 Tm 3.71-3.86, 1 Sm 3.71
Ac (0.3536, 0.1483, 0.7084)  3 Tm 3.59-3.78, 5 Ac 3.65-3.90, 2 Sm 3.84-4.00
Ac (0.5198, 0.7437, 0.7871)  4 Tm 3.63-3.97, 6 Ac 3.70-3.99, 2 Sm 3.84-3.90
Ac (0.2256, 0.8711, 0.1458)  6 Ac 3.58-3.99, 3 Tm 3.71-3.86, 1 Sm 3.71
Ac (0.0110, 0.6986, 0.8663)  5 Ac 3.58-3.86, 3 Tm 3.64-3.99, 2 Sm 3.67-3.92
Ac (0.1483, 0.3535, 0.2083)  3 Tm 3.59-3.78, 5 Ac 3.65-3.90, 2 Sm 3.84-4.00
Ac (0.7437, 0.5197, 0.2871)  4 Tm 3.63-3.97, 6 Ac 3.70-3.99, 2 Sm 3.84-3.90
Sm (0.2514, 0.6319, 0.4963)  4 Tm 3.65-3.73, 8 Ac 3.67-4.07
Sm (0.6319, 0.2514, 0.9963)  4 Tm 3.65-3.73, 8 Ac 3.67-4.07
Tm (0.6502, 0.7758, 0.0668)  1 Tm 3.53, 5 Ac 3.63-3.80, 2 Sm 3.69-3.71
Tm (0.2629, 0.1176, 0.4308)  1 Tm 3.53, 6 Ac 3.59-3.86, 2 Sm 3.65-3.73
Tm (0.7759, 0.6502, 0.5668)  1 Tm 3.53, 5 Ac 3.63-3.80, 2 Sm 3.69-3.71
Tm (0.1176, 0.2628, 0.9308)  1 Tm 3.53, 6 Ac 3.59-3.86, 2 Sm 3.65-3.73

**Space group**: Cc, No. 9
**Calculated formation energy**: 103.5 meV per atom



Please write out number 1 again, unchanged.
Here is an optimized crystal structure of DyHf2Re from Alexandria via LeMat-Bulk. Energies are from PBE.

Unit cell a=3.3136 b=3.3136 c=8.1389 alpha=90.00 beta=90.00 gamma=90.00
Closest atoms and distances in Å follow each position.
Sites, in units of the cell vectors:
Hf (0.0000, 0.0000, 0.8107)  4 Re 2.80, 1 Hf 3.08
Hf (0.0000, 0.0000, 0.1893)  4 Re 2.80, 1 Hf 3.08
Re (0.5000, 0.5000, 0.0000)  8 Hf 2.80
Dy (0.5000, 0.5000, 0.5000)  4 Dy 3.31, 8 Hf 3.45

**Space group**: P4/mmm, No. 123
**Calculated formation energy**: -82.5 meV per atom



> What is the calculated formation energy in the first record?

-82.5 meV per atom



> What is the calculated formation energy in the first record?

-82.5 meV per atom



> The lowest calculated formation energy belongs to which entry?

DyHf2Re